[1]
The following is a PBE calculation of a relaxed structure of SrCd2Pt, from Alexandria.

Output
Formation energy from the elements: -413 meV per atom
Total magnetic moment: 0.0 μB per cell

Geometry as CIF:
```
data_SrCd2Pt
_cell_length_a 4.6974
_cell_length_b 4.6974
_cell_length_c 16.5152
_cell_angle_alpha 90.00
_cell_angle_beta 90.00
_cell_angle_gamma 120.00
_space_group_name_H-M_alt 'R -3 m'
_space_group_IT_number 166
_space_group_name_Hall '-R 3 2"'
loop_
_atom_site_label
_atom_site_type_symbol
_atom_site_fract_x
_atom_site_fract_y
_atom_site_fract_z
_atom_site_occupancy
Sr1 Sr 0.0000 0.0000 0.0000 1
Cd1 Cd 0.0000 0.0000 0.2095 1
Pt1 Pt 0.0000 0.0000 0.5000 1
```


[2]
The following is a PBE calculation of a relaxed structure of YNbAs3, from Alexandria.

Output
Formation energy from the elements: -214 meV per atom
Polymorph energy (0 for the lowest one): 0.0 kJ per mole of atoms
Total magnetic moment: 0.0 μB per cell

Geometry as CIF:
```
data_YNbAs3
_cell_length_a 4.985
_cell_length_b 4.985
_cell_length_c 4.985
_cell_angle_alpha 90.00
_cell_angle_beta 90.00
_cell_angle_gamma 90.00
_space_group_name_H-M_alt 'P m -3 m'
_space_group_IT_number 221
_space_group_name_Hall '-P 4 2 3'
loop_
_atom_site_label
_atom_site_type_symbol
_atom_site_fract_x
_atom_site_fract_y
_atom_site_fract_z
_atom_site_occupancy
Y1 Y 0.000 0.000 0.000 1
Nb1 Nb 0.500 0.500 0.500 1
As1 As 0.000 0.500 0.500 1
```


[3]
The following is a PBE calculation of a relaxed structure of Dy6YHo2Tm3, from Alexandria.

Output
Formation energy from the elements: 21 meV per atom
Total magnetic moment: 0.0 μB per cell

Geometry as CIF:
```
data_Dy6YHo2Tm3
_cell_length_a 6.115
_cell_length_b 10.577
_cell_length_c 11.682
_cell_angle_alpha 90.00
_cell_angle_beta 99.99
_cell_angle_gamma 90.00
_space_group_name_H-M_alt 'C 1 2/m 1'
_space_group_IT_number 12
loop_
_space_group_symop_operation_xyz
'x,y,z'
'-x,-y,-z'
'-x,y,-z'
'x,-y,z'
'x+1/2,y+1/2,z'
'-x+1/2,-y+1/2,-z'
'-x+1/2,y+1/2,-z'
'x+1/2,-y+1/2,z'
loop_
_atom_site_label
_atom_site_type_symbol
_atom_site_fract_x
_atom_site_fract_y
_atom_site_fract_z
_atom_site_occupancy
Dy1 Dy 0.248 0.167 0.248 1
Dy2 Dy 0.250 0.000 0.752 1
Y1 Y 0.000 0.500 0.500 1
Ho1 Ho 0.000 0.167 0.500 1
Tm1 Tm 0.000 0.000 0.000 1
Tm2 Tm 0.000 0.333 0.000 1
```


[4]
The following is a PBE calculation of a relaxed structure of Nd4GaAgAu2, from Alexandria.

Output
Formation energy from the elements: -569 meV per atom
Total magnetic moment: 0.0 μB per cell

Geometry as CIF:
```
data_Nd4GaAgAu2
_cell_length_a 5.2671
_cell_length_b 5.2671
_cell_length_c 25.8496
_cell_angle_alpha 90.00
_cell_angle_beta 90.00
_cell_angle_gamma 120.00
_space_group_name_H-M_alt 'R -3 m'
_space_group_IT_number 166
_space_group_name_Hall '-R 3 2"'
loop_
_atom_site_label
_atom_site_type_symbol
_atom_site_fract_x
_atom_site_fract_y
_atom_site_fract_z
_atom_site_occupancy
Nd1 Nd 0.0000 0.0000 0.1239 1
Nd2 Nd 0.0000 0.0000 0.3746 1
Ga1 Ga 0.0000 0.0000 0.0000 1
Ag1 Ag 0.0000 0.0000 0.5000 1
Au1 Au 0.0000 0.0000 0.2504 1
```